[1]
VASP calculation (GGA-PBE) on a relaxed AcNbBr crystal.

## Properties
SG = No. 12

Unit cell a=3.790 b=3.441 c=16.427 alpha=96.01 beta=62.68 gamma=90.00
Atoms (fractional coordinates):
Ac  0.770  0.121  0.241
Ac  0.230  0.879  0.759
Br  0.001  0.311  0.622
Br  0.999  0.689  0.378
Nb  0.629  0.030  0.061
Nb  0.371  0.970  0.939



[2]
VASP calculation (GGA-PBE) on a relaxed Be3SnCl crystal.

## Properties
SG = No. 221

Unit cell a=4.288 b=4.288 c=4.288 alpha=90.00 beta=90.00 gamma=90.00
Atoms (fractional coordinates):
Be  0.000  0.500  0.000
Be  0.000  0.000  0.500
Be  0.500  0.000  0.000
Sn  0.500  0.500  0.500
Cl  0.000  0.000  0.000



[3]
VASP calculation (GGA-PBE) on a relaxed Ag2HgI4 crystal.

## Properties
SG = No. 8

Unit cell a=4.705 b=4.705 c=42.656 alpha=89.58 beta=89.58 gamma=62.55
Atoms (fractional coordinates):
I  0.714  0.714  0.051
I  0.220  0.220  0.090
I  0.747  0.747  0.144
I  0.324  0.324  0.230
I  0.981  0.981  0.319
I  0.629  0.629  0.407
I  0.280  0.280  0.508
I  0.679  0.679  0.630
I  0.179  0.179  0.717
I  0.899  0.899  0.803
I  0.545  0.545  0.891
I  0.189  0.189  0.978
Hg  0.628  0.628  0.479
Hg  0.937  0.937  0.570
Hg  0.433  0.433  0.674
Ag  0.660  0.660  0.207
Ag  0.324  0.324  0.297
Ag  0.971  0.971  0.385
Ag  0.243  0.243  0.785
Ag  0.530  0.530  0.961
Ag  0.887  0.887  0.873



Number 1: D(E_F) 0.93 states/eV per atom, volume 189 Å³ per cell, calculated total energy -0.398 Ry/atom. Number 2: D(E_F) 0.81 states/eV per atom, volume 79 Å³ per cell, calculated total energy -0.176 Ry/atom. Number 3: D(E_F) 0.26 states/eV per atom, volume 838 Å³ per cell, calculated total energy -0.138 Ry/atom.